# 1
# Mn2InFe (PBE, relaxed)
data_Mn2InFe
_symmetry_space_group_name_H-M 'I -4 2 d'
_symmetry_Int_Tables_number 122
_symmetry_space_group_name_Hall 'I -4 2bw'
_cell_length_a 6.843
_cell_length_b 6.843
_cell_length_c 5.209
_cell_angle_alpha 90.00
_cell_angle_beta 90.00
_cell_angle_gamma 90.00
loop_
_atom_site_label
_atom_site_type_symbol
_atom_site_fract_x
_atom_site_fract_y
_atom_site_fract_z
_atom_site_occupancy
Mn1 Mn 0.190 0.750 0.125 1
In1 In 0.000 0.000 0.500 1
Fe1 Fe 0.000 0.000 0.000 1
# Total magnetic moment, μB/f.u.: 3.4
# ΔE_f, eV/atom: 0.643
# Calculated total energy, eV per atom: -6.742
# Density of states at the Fermi level, states/eV per cell: 27.2

***

# 2
# Zr2TlCdI (PBE, relaxed)
data_Zr2TlCdI
_symmetry_space_group_name_H-M 'P 4/m m m'
_symmetry_Int_Tables_number 123
_symmetry_space_group_name_Hall '-P 4 2'
_cell_length_a 5.416
_cell_length_b 5.416
_cell_length_c 5.772
_cell_angle_alpha 90.00
_cell_angle_beta 90.00
_cell_angle_gamma 90.00
loop_
_atom_site_label
_atom_site_type_symbol
_atom_site_fract_x
_atom_site_fract_y
_atom_site_fract_z
_atom_site_occupancy
Zr1 Zr 0.000 0.500 0.000 1
Tl1 Tl 0.000 0.000 0.500 1
Cd1 Cd 0.500 0.500 0.000 1
I1 I 0.500 0.500 0.500 1
# Total magnetic moment, μB/f.u.: 0.0
# Calculated total energy, eV per atom: -3.313
# Density of states at the Fermi level, states/eV per cell: 7.0
# Uncorrected formation energy, eV per atom: 1.07

***

# 3
# TaBF2 (PBE, relaxed)
data_TaBF2
_symmetry_space_group_name_H-M 'F m -3 m'
_symmetry_Int_Tables_number 225
_symmetry_space_group_name_Hall '-F 4 2 3'
_cell_length_a 5.526
_cell_length_b 5.526
_cell_length_c 5.526
_cell_angle_alpha 90.00
_cell_angle_beta 90.00
_cell_angle_gamma 90.00
loop_
_atom_site_label
_atom_site_type_symbol
_atom_site_fract_x
_atom_site_fract_y
_atom_site_fract_z
_atom_site_occupancy
Ta1 Ta 0.000 0.000 0.000 1
B1 B 0.000 0.000 0.500 1
F1 F 0.250 0.250 0.250 1
# Total magnetic moment, μB/f.u.: 0.0
# Energy above the lowest structure with this stoichiometry, eV per atom: 0.956
# Calculated total energy, eV per atom: -5.653
# Density of states at the Fermi level, states/eV per cell: 8.1
# Uncorrected formation energy, eV per atom: -0.08